A plane-wave DFT calculation with PBE was carried out for a relaxed structure of AlNi2Rh.

The structure in extended XYZ format:
```
4
Lattice="-5.432 3.389 5.260 -4.461 1.449 6.831 -3.176 3.792 6.648" Properties=species:S:1:pos:R:3 pbc="T T T"
Ni -0.051 0.034 0.073
Ni -6.484 4.281 9.297
Rh -3.267 2.157 4.685
Al -9.802 6.472 14.054
```

Computed properties:
Its formation energy is -16.4 kJ per mole of atoms. For the total moment, the calculation gives 1.574 μB/cell. Its total DFT energy (no corrections) is -5.834 eV/atom.

---

A plane-wave DFT calculation with PBE was carried out for a relaxed structure of CsPmTlI6.

The structure in extended XYZ format:
```
9
Lattice="-2.165 -4.636 6.558 0.988 -8.256 -0.233 7.635 0.827 3.108" Properties=species:S:1:pos:R:3 pbc="T T T"
Cs 5.470 -3.809 9.666
Pm 3.032 -8.180 5.770
Tl 3.425 -3.884 3.662
I 0.332 -7.629 7.228
I 5.673 -9.389 4.635
I 4.616 -5.530 6.208
I 4.028 -9.059 8.592
I 1.827 -6.699 3.306
I 1.720 -10.779 4.656
```

Computed properties:
For the total moment, the calculation gives 0.000 μB/cell. Its total DFT energy (no corrections) is -3.002 eV/atom. The formation energy (no corrections) is -1083 meV per atom.

---

A plane-wave DFT calculation with PBE was carried out for a relaxed structure of BaYW.

The structure in extended XYZ format:
```
3
Lattice="3.478 0.000 0.000 -1.739 3.012 0.000 0.000 0.000 8.487" Properties=species:S:1:pos:R:3 pbc="T T T"
Ba 0.000 0.000 0.367
W 1.739 1.004 2.978
Y 0.000 2.008 5.142
```

Computed properties:
Its formation energy is 105.0 kJ per mole of atoms. For the total moment, the calculation gives 1.160 μB/cell. Its total DFT energy (no corrections) is -6.026 eV/atom.